# HoEr5Sb6, relaxed, DFT PBE
# raw formation energy = -1271 kJ/mol of formula units
data_HoEr5Sb6
_chemical_formula_sum 'Ho2 Er10 Sb12'
_cell_length_a 7.544
_cell_length_b 13.065
_cell_length_c 7.541
_cell_angle_alpha 90.00
_cell_angle_beta 109.47
_cell_angle_gamma 90.00
_symmetry_space_group_name_H-M 'C 1 2/m 1'
_symmetry_Int_Tables_number 12
loop_
_symmetry_equiv_pos_as_xyz
'x,y,z'
'-x,-y,-z'
'-x,y,-z'
'x,-y,z'
'x+1/2,y+1/2,z'
'-x+1/2,-y+1/2,-z'
'-x+1/2,y+1/2,-z'
'x+1/2,-y+1/2,z'
loop_
_atom_site_label
_atom_site_fract_x
_atom_site_fract_y
_atom_site_fract_z
Ho1 0.000 0.000 0.000
Er1 0.000 0.166 0.500
Er2 0.000 0.333 0.000
Er3 0.000 0.500 0.500
Sb1 0.249 0.333 0.749
Sb2 0.249 0.500 0.250